VASP calculation (PBE) on SmAgPd4 after structural relaxation.

## Properties
For the volume, the calculation gives 17.8 A^3/atom. The formation energy from the elements comes out at -0.45 eV/atom. The calculation puts the magnetic moment at 0.00 Bohr magnetons per cell.

Cell and atoms, written as CIF:
```
data_SmAgPd4
_chemical_formula_sum 'Sm2 Ag2 Pd8'
_cell_length_a 11.678
_cell_length_b 4.282
_cell_length_c 4.266
_cell_angle_alpha 90.00
_cell_angle_beta 90.17
_cell_angle_gamma 90.00
_symmetry_space_group_name_H-M 'C 1 2/m 1'
_symmetry_Int_Tables_number 12
loop_
_symmetry_equiv_pos_as_xyz
'x,y,z'
'-x,-y,-z'
'-x,y,-z'
'x,-y,z'
'x+1/2,y+1/2,z'
'-x+1/2,-y+1/2,-z'
'-x+1/2,y+1/2,-z'
'x+1/2,-y+1/2,z'
loop_
_atom_site_label
_atom_site_fract_x
_atom_site_fract_y
_atom_site_fract_z
_atom_site_occupancy
Sm1 0.000 0.000 0.000 1
Ag1 0.000 0.500 0.500 1
Pd1 0.169 0.500 0.000 1
Pd2 0.173 0.000 0.500 1
```